# 1
Computed, not measured: a relaxed structure of La2YMg at the PBE level of DFT.

```
data_La2YMg
_chemical_formula_sum 'La8 Y4 Mg4'
_symmetry_space_group_name_H-M 'F m m m'
_symmetry_Int_Tables_number 69
_symmetry_space_group_name_Hall '-F 2 2'
_cell_length_a 7.138
_cell_length_b 7.145
_cell_length_c 10.134
_cell_angle_alpha 90.00
_cell_angle_beta 90.00
_cell_angle_gamma 90.00
loop_
_atom_site_label
_atom_site_type_symbol
_atom_site_fract_x
_atom_site_fract_y
_atom_site_fract_z
_atom_site_occupancy
La1 La 0.250 0.250 0.250 1
Y1 Y 0.000 0.000 0.000 1
Mg1 Mg 0.000 0.000 0.500 1
```


# 2
Computed, not measured: a relaxed structure of La2YMg at the PBE level of DFT.

```
data_La2YMg
_chemical_formula_sum 'La8 Y4 Mg4'
_symmetry_space_group_name_H-M 'I -4 2 d'
_symmetry_Int_Tables_number 122
_symmetry_space_group_name_Hall 'I -4 2bw'
_cell_length_a 9.027
_cell_length_b 9.027
_cell_length_c 6.581
_cell_angle_alpha 90.00
_cell_angle_beta 90.00
_cell_angle_gamma 90.00
loop_
_atom_site_label
_atom_site_type_symbol
_atom_site_fract_x
_atom_site_fract_y
_atom_site_fract_z
_atom_site_occupancy
La1 La 0.231 0.250 0.125 1
Y1 Y 0.000 0.000 0.500 1
Mg1 Mg 0.000 0.000 0.000 1
```


# 3
Computed, not measured: a relaxed structure of La2YMg at the PBE level of DFT.

```
data_La2YMg
_chemical_formula_sum 'La4 Y2 Mg2'
_symmetry_space_group_name_H-M 'C m m m'
_symmetry_Int_Tables_number 65
_symmetry_space_group_name_Hall '-C 2 2'
_cell_length_a 7.869
_cell_length_b 8.713
_cell_length_c 3.852
_cell_angle_alpha 90.00
_cell_angle_beta 90.00
_cell_angle_gamma 90.00
loop_
_atom_site_label
_atom_site_type_symbol
_atom_site_fract_x
_atom_site_fract_y
_atom_site_fract_z
_atom_site_occupancy
La1 La 0.250 0.250 0.000 1
Y1 Y 0.000 0.000 0.500 1
Mg1 Mg 0.000 0.500 0.500 1
```


Calculated energy (eV/atom), listed in the same order as above: -4.4900, -4.2173, -4.4846
Calculated calculated formation energy (eV per atom), listed in the same order as above: -0.012, 0.261, -0.006
Calculated N(E_F) (states/eV per atom), listed in the same order as above: 1.08, 0.59, 1.22